[1]
A plane-wave DFT calculation with PBE-GGA was carried out for a relaxed YTe3F crystal.

Unit cell a=5.734 b=5.734 c=5.734 alpha=90.00 beta=90.00 gamma=90.00
Fractional coordinates of all 5 atoms:
F1 0.500 0.500 0.500
Y1 0.000 0.000 0.000
Te1 0.500 0.000 0.000
Te2 0.000 0.500 0.000
Te3 0.000 0.000 0.500

Calculated values
- Electronic total energy: -3.79 eV per atom
- Magnetic moment: 0.00 μB per atom
- Calculated volume: 37.7 Å³/atom
- Space group: Pm-3m, No. 221
- Formation energy without anion corrections: -0.242 eV per atom

=====

[2]
A plane-wave DFT calculation with PBE-GGA was carried out for a relaxed SeSN2Cl crystal.

Unit cell a=3.538 b=3.538 c=7.655 alpha=90.00 beta=90.00 gamma=90.00
Site moments in Bohr magnetons follow the coordinates.
Fractional coordinates of all 5 atoms:
Cl1 0.500 0.500 0.500  0.00
N1 0.500 0.000 0.000  0.29
N2 0.000 0.500 0.000  0.29
Se1 0.000 0.000 0.500  0.00
S1 0.000 0.000 0.000  0.02

Calculated values
- Electronic total energy: -3.71 eV per atom
- Magnetic moment: 0.17 μB per atom
- Calculated volume: 19.2 Å³/atom
- Space group: P4/mmm, No. 123
- Formation energy without anion corrections: 1.508 eV per atom

=====

Summary of N(E_F) in states/eV/f.u.
8.745; 3.265
(order as listed above)